[1]
# LaPrTm3Sc

A relaxed LaPrTm3Sc crystal (PBE-GGA, Alexandria via LeMat-Bulk).

```
data_LaPrTm3Sc
_chemical_formula_sum 'La4 Pr4 Tm12 Sc4'
_cell_length_a 5.0171
_cell_length_b 14.9349
_cell_length_c 10.0239
_cell_angle_alpha 90.00
_cell_angle_beta 90.00
_cell_angle_gamma 90.00
_space_group_name_H-M_alt 'C m c m'
_space_group_IT_number 63
_space_group_name_Hall '-C 2c 2'
loop_
_atom_site_label
_atom_site_fract_x
_atom_site_fract_y
_atom_site_fract_z
_atom_site_occupancy
La1 0.0000 0.0016 0.2500 1
Pr1 0.0000 0.5000 0.0000 1
Tm1 0.0000 0.1705 0.5005 1
Tm2 0.0000 0.3277 0.2500 1
Sc1 0.0000 0.3293 0.7500 1
```

=====

[2]
# La4Pr2YSc

A relaxed La4Pr2YSc crystal (PBE-GGA, Alexandria via LeMat-Bulk).

```
data_La4Pr2YSc
_chemical_formula_sum 'La4 Pr2 Y1 Sc1'
_cell_length_a 5.1710
_cell_length_b 5.2039
_cell_length_c 10.2186
_cell_angle_alpha 90.00
_cell_angle_beta 90.00
_cell_angle_gamma 90.00
_space_group_name_H-M_alt 'P m m m'
_space_group_IT_number 47
_space_group_name_Hall '-P 2 2'
loop_
_atom_site_label
_atom_site_fract_x
_atom_site_fract_y
_atom_site_fract_z
_atom_site_occupancy
La1 0.0000 0.0000 0.2448 1
La2 0.5000 0.5000 0.2453 1
Pr1 0.0000 0.5000 0.0000 1
Pr2 0.5000 0.0000 0.5000 1
Y1 0.0000 0.5000 0.5000 1
Sc1 0.5000 0.0000 0.0000 1
```

=====

[3]
# LaPrYSc

A relaxed LaPrYSc crystal (PBE-GGA, Alexandria via LeMat-Bulk).

```
data_LaPrYSc
_chemical_formula_sum 'La2 Pr2 Y2 Sc2'
_cell_length_a 12.3280
_cell_length_b 5.7871
_cell_length_c 3.8594
_cell_angle_alpha 90.00
_cell_angle_beta 108.20
_cell_angle_gamma 90.00
_space_group_name_H-M_alt 'C 1 m 1'
_space_group_IT_number 8
_space_group_name_Hall 'C -2y'
loop_
_atom_site_label
_atom_site_fract_x
_atom_site_fract_y
_atom_site_fract_z
_atom_site_occupancy
La1 0.0000 0.0000 0.0000 1
Pr1 0.2271 0.5000 0.2218 1
Y1 0.2662 0.0000 0.7620 1
Sc1 0.4942 0.0000 0.4915 1
```

=====

[4]
# LaPr2Y5Sc

A relaxed LaPr2Y5Sc crystal (PBE-GGA, Alexandria via LeMat-Bulk).

```
data_LaPr2Y5Sc
_chemical_formula_sum 'La4 Pr8 Y20 Sc4'
_cell_length_a 5.6538
_cell_length_b 19.9050
_cell_length_c 10.5551
_cell_angle_alpha 90.00
_cell_angle_beta 90.00
_cell_angle_gamma 90.00
_space_group_name_H-M_alt 'C m c 21'
_space_group_IT_number 36
_space_group_name_Hall 'C 2c -2'
loop_
_atom_site_label
_atom_site_fract_x
_atom_site_fract_y
_atom_site_fract_z
_atom_site_occupancy
La1 0.0000 0.0852 0.0000 1
Pr1 0.0000 0.3849 0.2776 1
Pr2 0.0000 0.3877 0.8578 1
Y1 0.0000 0.0173 0.2828 1
Y2 0.0000 0.1288 0.5635 1
Y3 0.0000 0.2055 0.2468 1
Y4 0.0000 0.2248 0.8743 1
Y5 0.0000 0.4840 0.5644 1
Sc1 0.0000 0.3048 0.5586 1
```

=====

[5]
# La2Pr4YSc

A relaxed La2Pr4YSc crystal (PBE-GGA, Alexandria via LeMat-Bulk).

```
data_La2Pr4YSc
_chemical_formula_sum 'La2 Pr4 Y1 Sc1'
_cell_length_a 5.1240
_cell_length_b 5.1629
_cell_length_c 10.3568
_cell_angle_alpha 90.00
_cell_angle_beta 90.05
_cell_angle_gamma 90.00
_space_group_name_H-M_alt 'P 1 2/m 1'
_space_group_IT_number 10
_space_group_name_Hall '-P 2y'
loop_
_atom_site_label
_atom_site_fract_x
_atom_site_fract_y
_atom_site_fract_z
_atom_site_occupancy
La1 0.0000 0.0000 0.0000 1
La2 0.5000 0.5000 0.5000 1
Pr1 0.9998 0.5000 0.2447 1
Pr2 0.5003 0.0000 0.2453 1
Y1 0.0000 0.0000 0.5000 1
Sc1 0.5000 0.5000 0.0000 1
```

=====

[6]
# LaPr6Y2Sc

A relaxed LaPr6Y2Sc crystal (PBE-GGA, Alexandria via LeMat-Bulk).

```
data_LaPr6Y2Sc
_chemical_formula_sum 'La1 Pr6 Y2 Sc1'
_cell_length_a 6.4761
_cell_length_b 7.5029
_cell_length_c 7.5073
_cell_angle_alpha 100.27
_cell_angle_beta 90.19
_cell_angle_gamma 90.15
_space_group_name_H-M_alt 'P -1'
_space_group_IT_number 2
_space_group_name_Hall '-P 1'
loop_
_atom_site_label
_atom_site_fract_x
_atom_site_fract_y
_atom_site_fract_z
_atom_site_occupancy
La1 0.0000 0.0000 0.0000 1
Pr1 0.0780 0.3369 0.3379 1
Pr2 0.2601 0.3734 0.8513 1
Pr3 0.2607 0.8515 0.3733 1
Y1 0.4526 0.8342 0.8343 1
Sc1 0.5000 0.5000 0.5000 1
```

=====

[7]
# LaPrYSc

A relaxed LaPrYSc crystal (PBE-GGA, Alexandria via LeMat-Bulk).

```
data_LaPrYSc
_chemical_formula_sum 'La4 Pr4 Y4 Sc4'
_cell_length_a 8.0388
_cell_length_b 8.0388
_cell_length_c 8.0388
_cell_angle_alpha 90.00
_cell_angle_beta 90.00
_cell_angle_gamma 90.00
_space_group_name_H-M_alt 'F -4 3 m'
_space_group_IT_number 216
_space_group_name_Hall 'F -4 2 3'
loop_
_atom_site_label
_atom_site_fract_x
_atom_site_fract_y
_atom_site_fract_z
_atom_site_occupancy
La1 0.0000 0.0000 0.0000 1
Pr1 0.0000 0.0000 0.5000 1
Y1 0.2500 0.2500 0.7500 1
Sc1 0.2500 0.2500 0.2500 1
```

=====

[8]
# La3Pr2Y6Sc

A relaxed La3Pr2Y6Sc crystal (PBE-GGA, Alexandria via LeMat-Bulk).

```
data_La3Pr2Y6Sc
_chemical_formula_sum 'La6 Pr4 Y12 Sc2'
_cell_length_a 6.2547
_cell_length_b 10.8394
_cell_length_c 11.9227
_cell_angle_alpha 90.00
_cell_angle_beta 100.09
_cell_angle_gamma 90.00
_space_group_name_H-M_alt 'C 1 2/m 1'
_space_group_IT_number 12
_space_group_name_Hall '-C 2y'
loop_
_atom_site_label
_atom_site_fract_x
_atom_site_fract_y
_atom_site_fract_z
_atom_site_occupancy
La1 0.0000 0.0000 0.0000 1
La2 0.0000 0.3328 0.0000 1
Pr1 0.0000 0.1660 0.5000 1
Y1 0.2463 0.3350 0.7455 1
Y2 0.2485 0.5000 0.2538 1
Sc1 0.0000 0.5000 0.5000 1
```

=====

[9]
# La6PrY2Sc

A relaxed La6PrY2Sc crystal (PBE-GGA, Alexandria via LeMat-Bulk).

```
data_La6PrY2Sc
_chemical_formula_sum 'La12 Pr2 Y4 Sc2'
_cell_length_a 11.7669
_cell_length_b 6.9852
_cell_length_c 9.0685
_cell_angle_alpha 90.00
_cell_angle_beta 110.41
_cell_angle_gamma 90.00
_space_group_name_H-M_alt 'C 1 2/m 1'
_space_group_IT_number 12
_space_group_name_Hall '-C 2y'
loop_
_atom_site_label
_atom_site_fract_x
_atom_site_fract_y
_atom_site_fract_z
_atom_site_occupancy
La1 0.0854 0.0000 0.1883 1
La2 0.1909 0.2344 0.7916 1
Pr1 0.0000 0.5000 0.0000 1
Y1 0.1258 0.5000 0.4219 1
Sc1 0.0000 0.0000 0.5000 1
```

=====

[10]
# LaPr2YSc

A relaxed LaPr2YSc crystal (PBE-GGA, Alexandria via LeMat-Bulk).

```
data_LaPr2YSc
_chemical_formula_sum 'La2 Pr4 Y2 Sc2'
_cell_length_a 6.3610
_cell_length_b 7.8181
_cell_length_c 6.7606
_cell_angle_alpha 90.00
_cell_angle_beta 90.00
_cell_angle_gamma 90.00
_space_group_name_H-M_alt 'P m m a'
_space_group_IT_number 51
_space_group_name_Hall '-P 2a 2a'
loop_
_atom_site_label
_atom_site_fract_x
_atom_site_fract_y
_atom_site_fract_z
_atom_site_occupancy
La1 0.2500 0.0000 0.1938 1
Pr1 0.2500 0.2071 0.7170 1
Y1 0.2500 0.5000 0.0951 1
Sc1 0.0000 0.5000 0.5000 1
```

=====

[11]
# LaPr4Y2Sc

A relaxed LaPr4Y2Sc crystal (PBE-GGA, Alexandria via LeMat-Bulk).

```
data_LaPr4Y2Sc
_chemical_formula_sum 'La1 Pr4 Y2 Sc1'
_cell_length_a 5.1214
_cell_length_b 5.1408
_cell_length_c 10.2249
_cell_angle_alpha 90.00
_cell_angle_beta 90.04
_cell_angle_gamma 90.00
_space_group_name_H-M_alt 'P 1 2/m 1'
_space_group_IT_number 10
_space_group_name_Hall '-P 2y'
loop_
_atom_site_label
_atom_site_fract_x
_atom_site_fract_y
_atom_site_fract_z
_atom_site_occupancy
La1 0.0000 0.0000 0.0000 1
Pr1 0.9998 0.5000 0.2475 1
Pr2 0.4996 0.0000 0.2480 1
Y1 0.0000 0.0000 0.5000 1
Y2 0.5000 0.5000 0.5000 1
Sc1 0.5000 0.5000 0.0000 1
```

=====

| no. | N(E_F) (states/eV/f.u.) | E (eV per atom) | ΔE_f (eV per formula unit) |
| --- | --- | --- | --- |
| 1 | 10.025 | -4.857 | 0.31 |
| 2 | 12.450 | -5.230 | 0.23 |
| 3 | 6.703 | -5.538 | 0.35 |
| 4 | 13.232 | -5.744 | 1.44 |
| 5 | 14.142 | -5.184 | 0.30 |
| 6 | 17.783 | -5.036 | 2.51 |
| 7 | 6.589 | -5.537 | 0.35 |
| 8 | 15.639 | -5.764 | 0.29 |
| 9 | 17.443 | -5.182 | 1.78 |
| 10 | 5.409 | -5.286 | 0.85 |
| 11 | 11.482 | -5.384 | 0.23 |